Record 1
Here is a relaxed structure of GaSb3H from the Alexandria database. Energies are from PBE.

Calculated values
As for the crystal system: cubic. The total energy comes out at -2.731 eV per atom. For the volume, the calculation gives 30.88 Å³/atom. The space group is Pm-3m (221). For the spin magnetization, the calculation gives 0.84 μB/f.u. The density of states at the Fermi level is 2.84 states/eV/cell.

a b c (Å): 5.365 5.365 5.365
angles (deg): 90.00 90.00 90.00
Element x y z (fractional)
Ga: 0.000 0.000 0.000
Sb: 0.000 0.000 0.500
Sb: 0.000 0.500 0.000
Sb: 0.500 0.000 0.000
H: 0.500 0.500 0.500



Record 2
Here is a relaxed structure of SiTcSb2 from the Alexandria database. Energies are from PBE.

Calculated values
As for the crystal system: tetragonal. For the volume, the calculation gives 27.74 Å³/atom. For the formation energy from raw total energies, the calculation gives 0.567 eV per atom. The space group is I-42d (122). For the spin magnetization, the calculation gives 0.00 μB/f.u. The density of states at the Fermi level is 17.33 states/eV/cell.

a b c (Å): 6.121 6.121 11.849
angles (deg): 90.00 90.00 90.00
Element x y z (fractional)
Si: 0.000 0.000 0.000
Si: 0.000 0.500 0.250
Si: 0.500 0.000 0.750
Si: 0.500 0.500 0.500
Tc: 0.000 0.000 0.500
Tc: 0.000 0.500 0.750
Tc: 0.500 0.000 0.250
Tc: 0.500 0.500 0.000
Sb: 0.240 0.250 0.625
Sb: 0.250 0.740 0.875
Sb: 0.250 0.760 0.375
Sb: 0.260 0.250 0.125
Sb: 0.740 0.750 0.125
Sb: 0.750 0.240 0.375
Sb: 0.750 0.260 0.875
Sb: 0.760 0.750 0.625



Record 3
Here is a relaxed structure of TlInBH2 from the Alexandria database. Energies are from PBE.

Calculated values
As for the crystal system: tetragonal. The total energy comes out at -2.674 eV per atom. For the volume, the calculation gives 15.32 Å³/atom. The space group is P4/mmm (123). For the spin magnetization, the calculation gives 0.00 μB/f.u. The density of states at the Fermi level is 1.66 states/eV/cell.

a b c (Å): 4.033 4.033 4.709
angles (deg): 90.00 90.00 90.00
Element x y z (fractional)
Tl: 0.000 0.000 0.000
In: 0.500 0.500 0.000
B: 0.500 0.500 0.500
H: 0.000 0.500 0.500
H: 0.500 0.000 0.500



Record 4
Here is a relaxed structure of Er6Mg3Tc from the Alexandria database. Energies are from PBE.

Calculated values
As for the crystal system: monoclinic. For the volume, the calculation gives 26.41 Å³/atom. The space group is P2_1/m (11). The calculation puts the formation energy at -0.47 eV/f.u. For the spin magnetization, the calculation gives 0.00 μB/f.u. The density of states at the Fermi level is 18.10 states/eV/cell.

a b c (Å): 9.275 5.331 11.202
angles (deg): 90.00 107.52 90.00
Element x y z (fractional)
Er: 0.042 0.250 0.418
Er: 0.208 0.750 0.173
Er: 0.296 0.250 0.012
Er: 0.344 0.750 0.828
Er: 0.379 0.250 0.341
Er: 0.397 0.250 0.649
Er: 0.603 0.750 0.351
Er: 0.621 0.750 0.659
Er: 0.656 0.250 0.172
Er: 0.704 0.750 0.988
Er: 0.792 0.250 0.827
Er: 0.958 0.750 0.582
Mg: 0.011 0.750 0.882
Mg: 0.088 0.250 0.726
Mg: 0.266 0.750 0.478
Mg: 0.734 0.250 0.522
Mg: 0.912 0.750 0.274
Mg: 0.989 0.250 0.118
Tc: 0.468 0.750 0.097
Tc: 0.532 0.250 0.903



Record 5
Here is a relaxed structure of Sm6Dy2Er3Mg from the Alexandria database. Energies are from PBE.

Calculated values
As for the crystal system: monoclinic. For the volume, the calculation gives 31.66 Å³/atom. The space group is C2/m (12). The calculation puts the formation energy at 0.26 eV/f.u. For the spin magnetization, the calculation gives 0.00 μB/f.u. The density of states at the Fermi level is 13.00 states/eV/cell.

a b c (Å): 6.173 6.173 11.700
angles (deg): 95.06 95.06 120.04
Element x y z (fractional)
Sm: 0.083 0.415 0.250
Sm: 0.250 0.250 0.749
Sm: 0.415 0.083 0.250
Sm: 0.585 0.917 0.750
Sm: 0.750 0.750 0.251
Sm: 0.917 0.585 0.750
Dy: 0.334 0.666 0.000
Dy: 0.666 0.334 0.000
Er: 0.166 0.834 0.500
Er: 0.500 0.500 0.500
Er: 0.834 0.166 0.500
Mg: 0.000 0.000 0.000



Record 6
Here is a relaxed structure of PuPaReOs from the Alexandria database. Energies are from PBE.

Calculated values
As for the crystal system: cubic. For the volume, the calculation gives 20.03 Å³/atom. The space group is F-43m (216). The calculation puts the formation energy at 0.11 eV/f.u. For the spin magnetization, the calculation gives 4.54 μB/f.u. The density of states at the Fermi level is 28.54 states/eV/cell.

a b c (Å): 6.843 6.843 6.843
angles (deg): 90.00 90.00 90.00
Element x y z (fractional)
Pu: 0.000 0.000 0.000
Pu: 0.000 0.500 0.500
Pu: 0.500 0.000 0.500
Pu: 0.500 0.500 0.000
Pa: 0.000 0.000 0.500
Pa: 0.000 0.500 0.000
Pa: 0.500 0.000 0.000
Pa: 0.500 0.500 0.500
Re: 0.250 0.250 0.750
Re: 0.250 0.750 0.250
Re: 0.750 0.250 0.250
Re: 0.750 0.750 0.750
Os: 0.250 0.250 0.250
Os: 0.250 0.750 0.750
Os: 0.750 0.250 0.750
Os: 0.750 0.750 0.250



Record 7
Here is a relaxed structure of CsCu2SnBr8 from the Alexandria database. Energies are from PBE.

Calculated values
As for the crystal system: trigonal. For the volume, the calculation gives 35.21 Å³/atom. For the formation energy from raw total energies, the calculation gives -0.601 eV per atom. The space group is R32 (155). For the spin magnetization, the calculation gives 1.11 μB/f.u. The density of states at the Fermi level is 16.33 states/eV/cell.

a b c (Å): 11.379 11.379 11.379
angles (deg): 34.54 34.54 34.54
Element x y z (fractional)
Cs: 0.000 0.000 0.000
Cu: 0.244 0.244 0.244
Cu: 0.756 0.756 0.756
Sn: 0.500 0.500 0.500
Br: 0.131 0.442 0.759
Br: 0.241 0.558 0.869
Br: 0.317 0.317 0.317
Br: 0.442 0.759 0.131
Br: 0.558 0.869 0.241
Br: 0.683 0.683 0.683
Br: 0.759 0.131 0.442
Br: 0.869 0.241 0.558



Record 8
Here is a relaxed structure of CaMgIn2 from the Alexandria database. Energies are from PBE.

Calculated values
As for the crystal system: monoclinic. For the volume, the calculation gives 25.70 Å³/atom. The space group is P2/m (10). The calculation puts the formation energy at -1.23 eV/f.u. For the spin magnetization, the calculation gives 0.00 μB/f.u. The density of states at the Fermi level is 0.63 states/eV/cell.

a b c (Å): 3.698 3.675 7.565
angles (deg): 90.00 90.17 90.00
Element x y z (fractional)
Ca: 0.000 0.000 0.000
Mg: 0.000 0.000 0.500
In: 0.499 0.500 0.719
In: 0.501 0.500 0.281



Record 9
Here is a relaxed structure of PtBr3N from the Alexandria database. Energies are from PBE.

Calculated values
As for the crystal system: cubic. For the volume, the calculation gives 20.06 Å³/atom. For the formation energy from raw total energies, the calculation gives 1.481 eV per atom. The space group is Pm-3m (221). For the spin magnetization, the calculation gives 1.24 μB/f.u. The density of states at the Fermi level is 6.43 states/eV/cell.

a b c (Å): 4.646 4.646 4.646
angles (deg): 90.00 90.00 90.00
Element x y z (fractional)
Pt: 0.000 0.000 0.000
Br: 0.000 0.500 0.500
Br: 0.500 0.000 0.500
Br: 0.500 0.500 0.000
N: 0.500 0.500 0.500



Record 10
Here is a relaxed structure of Li2AlIr from the Alexandria database. Energies are from PBE.

Calculated values
As for the crystal system: orthorhombic. For the volume, the calculation gives 14.36 Å³/atom. The space group is Pmmm (47). The calculation puts the formation energy at -0.82 eV/f.u. For the spin magnetization, the calculation gives 0.11 μB/f.u. The density of states at the Fermi level is 2.35 states/eV/cell.

a b c (Å): 2.693 4.237 5.036
angles (deg): 90.00 90.00 90.00
Element x y z (fractional)
Li: 0.000 0.000 0.230
Li: 0.000 0.000 0.770
Al: 0.500 0.500 0.500
Ir: 0.500 0.500 0.000



Record 11
Here is a relaxed structure of K2GePbF8 from the Alexandria database. Energies are from PBE.

Calculated values
As for the crystal system: monoclinic. For the volume, the calculation gives 17.53 Å³/atom. For the formation energy from raw total energies, the calculation gives -2.574 eV per atom. The space group is P2/m (10). For the spin magnetization, the calculation gives 0.00 μB/f.u. The density of states at the Fermi level is 0.00 states/eV/cell.

a b c (Å): 4.652 7.546 6.014
angles (deg): 90.00 94.60 90.00
Element x y z (fractional)
K: 0.000 0.234 0.000
K: 0.000 0.766 0.000
Ge: 0.500 0.000 0.500
Pb: 0.500 0.500 0.500
F: 0.070 0.500 0.261
F: 0.170 0.000 0.321
F: 0.375 0.180 0.680
F: 0.375 0.820 0.680
F: 0.625 0.180 0.320
F: 0.625 0.820 0.320
F: 0.830 0.000 0.679
F: 0.930 0.500 0.739



Record 12
Here is a relaxed structure of AsPbSe2 from the Alexandria database. Energies are from PBE.

Calculated values
As for the crystal system: orthorhombic. For the volume, the calculation gives 23.64 Å³/atom. For the formation energy from raw total energies, the calculation gives 0.108 eV per atom. The space group is Pmmm (47). For the spin magnetization, the calculation gives 0.00 μB/f.u. The density of states at the Fermi level is 2.11 states/eV/cell.

a b c (Å): 3.626 4.960 5.258
angles (deg): 90.00 90.00 90.00
Element x y z (fractional)
As: 0.000 0.000 0.000
Pb: 0.000 0.500 0.500
Se: 0.500 0.000 0.500
Se: 0.500 0.500 0.000